Record 1
Below is PmErTc after structural relaxation, with properties calculated at the PBE level.

* energy relative to the lowest polymorph listed for this composition: 0.003 eV/atom

Unit cell a=6.1595 b=6.1611 c=6.1812 alpha=88.14 beta=109.68 gamma=133.98
With the nearest neighbours (Å) after each atom.
Positions (direct):
Tc  0.4829  0.3672  0.8488  1 Tc 2.38
Tc  0.5171  0.6328  0.1512  1 Tc 2.38
Er  0.1109  0.6850  0.7955  3 Tc 2.93-3.04
Er  0.8891  0.3150  0.2045  3 Tc 2.93-3.04
Pm  0.7514  0.9280  0.6780  3 Tc 2.96-3.09
Pm  0.2486  0.0720  0.3220  3 Tc 2.96-3.09

***

Record 2
Below is PmEr2Tc after structural relaxation, with properties calculated at the PBE level.

* energy relative to the lowest polymorph listed for this composition: 0.000 eV/atom

Unit cell a=6.3041 b=7.4877 c=9.1003 alpha=90.00 beta=90.00 gamma=90.00
With the nearest neighbours (Å) after each atom.
Positions (direct):
Pm  0.6250  0.5419  0.2500  2 Tc 2.78-2.91
Pm  0.8750  0.0419  0.2500  2 Tc 2.78-2.91
Pm  0.3750  0.4581  0.7500  2 Tc 2.78-2.91
Pm  0.1250  0.9581  0.7500  2 Tc 2.78-2.91
Er  0.1566  0.6752  0.0641  3 Tc 2.85-3.16
Er  0.3434  0.1752  0.4359  3 Tc 2.85-3.16
Er  0.8434  0.3248  0.5641  3 Tc 2.85-3.16
Er  0.6566  0.8248  0.9359  3 Tc 2.85-3.16
Er  0.8434  0.3248  0.9359  3 Tc 2.85-3.16
Er  0.6566  0.8248  0.5641  3 Tc 2.85-3.16
Er  0.1566  0.6752  0.4359  3 Tc 2.85-3.16
Er  0.3434  0.1752  0.0641  3 Tc 2.85-3.16
Tc  0.0457  0.3836  0.2500  2 Pm 2.78-2.91, 4 Er 2.85-2.97
Tc  0.4543  0.8836  0.2500  2 Pm 2.78-2.91, 4 Er 2.85-2.97
Tc  0.9543  0.6164  0.7500  2 Pm 2.78-2.91, 4 Er 2.85-2.97
Tc  0.5457  0.1164  0.7500  2 Pm 2.78-2.91, 4 Er 2.85-2.97

***

Record 3
Below is PmEr4Tc after structural relaxation, with properties calculated at the PBE level.

* uncorrected energy: -5.590 eV/atom

Unit cell a=3.7222 b=8.7553 c=20.4163 alpha=90.00 beta=90.00 gamma=90.00
With the nearest neighbours (Å) after each atom.
Positions (direct):
Pm  0.7500  0.7261  0.8122  9 Er 3.29-3.65
Pm  0.2500  0.2739  0.1878  9 Er 3.29-3.65
Pm  0.2500  0.7739  0.3122  9 Er 3.29-3.65
Pm  0.7500  0.2261  0.6878  9 Er 3.29-3.65
Er  0.7500  0.8499  0.6414  2 Tc 2.87
Er  0.2500  0.1501  0.3586  2 Tc 2.87
Er  0.2500  0.6501  0.1414  2 Tc 2.87
Er  0.7500  0.3499  0.8586  2 Tc 2.87
Er  0.7500  0.8683  0.4564  2 Tc 2.83
Er  0.2500  0.1317  0.5436  2 Tc 2.83
Er  0.2500  0.6317  0.9564  2 Tc 2.83
Er  0.7500  0.3683  0.0436  2 Tc 2.83
Er  0.7500  0.9904  0.9339  3 Tc 2.90-3.03
Er  0.2500  0.0096  0.0661  3 Tc 2.90-3.03
Er  0.2500  0.5096  0.4339  3 Tc 2.90-3.03
Er  0.7500  0.4904  0.5661  3 Tc 2.90-3.03
Er  0.7500  0.9610  0.2061  4 Pm 3.29-3.33, 4 Er 3.44-3.55
Er  0.2500  0.0390  0.7939  4 Pm 3.29-3.33, 4 Er 3.44-3.55
Er  0.2500  0.5390  0.7061  4 Pm 3.29-3.33, 4 Er 3.44-3.55
Er  0.7500  0.4610  0.2939  4 Pm 3.29-3.33, 4 Er 3.44-3.55
Tc  0.7500  0.2608  0.4547  7 Er 2.83-3.03
Tc  0.2500  0.7392  0.5453  7 Er 2.83-3.03
Tc  0.2500  0.2392  0.9547  7 Er 2.83-3.03
Tc  0.7500  0.7608  0.0453  7 Er 2.83-3.03

***

Record 4
Below is Pm2Er7Tc2 after structural relaxation, with properties calculated at the PBE level.

* uncorrected energy: -5.590 eV/atom

Unit cell a=3.5358 b=10.8608 c=10.8608 alpha=50.78 beta=80.63 gamma=80.63
With the nearest neighbours (Å) after each atom.
Positions (direct):
Pm  0.7559  0.8250  0.6632  8 Er 3.44-3.83, 2 Pm 3.54
Pm  0.2441  0.3368  0.1750  8 Er 3.44-3.83, 2 Pm 3.54
Er  0.8644  0.0200  0.2513  1 Tc 2.74
Er  0.8880  0.3863  0.8378  2 Tc 2.87
Er  0.5000  0.0413  0.9587  3 Tc 2.82-2.87
Er  0.5805  0.5153  0.3237  3 Tc 2.82-3.02, 1 Er 3.11
Er  0.4195  0.6763  0.4847  3 Tc 2.82-3.02, 1 Er 3.11
Er  0.1356  0.7487  0.9800  1 Tc 2.74
Er  0.1120  0.1622  0.6137  2 Tc 2.87
Tc  0.0000  0.7983  0.2017  8 Er 2.74-3.02
Tc  0.5000  0.3437  0.6563  7 Er 2.82-2.87

***

Record 5
Below is PmErTc after structural relaxation, with properties calculated at the PBE level.

* energy relative to the lowest polymorph listed for this composition: 0.000 eV/atom

Unit cell a=3.4883 b=3.4883 c=6.7859 alpha=104.89 beta=104.89 gamma=90.00
With the nearest neighbours (Å) after each atom.
Positions (direct):
Pm  0.5815  0.5815  0.1630  4 Tc 3.00, 1 Er 3.28
Tc  0.9464  0.9464  0.8928  4 Er 2.92-2.93, 4 Pm 3.00
Er  0.3221  0.3221  0.6442  4 Tc 2.92-2.93

***

Record 6
Below is Pm2ErTc after structural relaxation, with properties calculated at the PBE level.

* energy relative to the lowest polymorph listed for this composition: 0.172 eV/atom

Unit cell a=3.5308 b=3.5308 c=8.7745 alpha=90.00 beta=90.00 gamma=90.00
With the nearest neighbours (Å) after each atom.
Positions (direct):
Pm  0.0000  0.0000  0.8060  4 Tc 3.02
Pm  0.0000  0.0000  0.1940  4 Tc 3.02
Tc  0.5000  0.5000  0.0000  8 Pm 3.02
Er  0.5000  0.5000  0.5000  4 Er 3.53, 8 Pm 3.67